{
  "formula": "Ti2CoW",
  "functional": "PBE",
  "state": "relaxed",
  "cell": [[-3.413, 3.413, 2.643], [3.413, -3.413, 2.643], [3.413, 3.413, -2.643]],
  "species": ["Ti", "Ti", "Ti", "Ti", "Co", "Co", "W", "W"],
  "fractional_positions": [[0.091, 0.625, 0.966], [0.375, 0.341, 0.466], [0.659, 0.125, 0.034], [0.875, 0.909, 0.534], [0.000, 0.000, 0.000], [0.750, 0.250, 0.500], [0.250, 0.750, 0.500], [0.500, 0.500, 0.000]],
  "delta_e_f_ev_per_fu": 1.28,
  "crystal_system": "tetragonal",
  "volume_a3_per_cell": 123.2,
  "magnetic_moment_mub_per_cell": 0.00,
  "e_tot_ev_per_atom": -8.643
}

---

{
  "formula": "MnPtRh3",
  "functional": "PBE",
  "state": "relaxed",
  "cell": [[4.781, 0.000, 0.000], [0.000, 4.781, 0.000], [0.000, 0.000, 4.781]],
  "species": ["Mn", "Pt", "Rh", "Rh", "Rh"],
  "fractional_positions": [[0.000, 0.000, 0.000], [0.500, 0.500, 0.500], [0.000, 0.500, 0.500], [0.500, 0.000, 0.500], [0.500, 0.500, 0.000]],
  "delta_e_f_ev_per_fu": 7.14,
  "crystal_system": "cubic",
  "volume_a3_per_cell": 109.3,
  "magnetic_moment_mub_per_cell": 7.24,
  "e_tot_ev_per_atom": -6.026
}

---

{
  "formula": "KRb2Ca2",
  "functional": "PBE",
  "state": "relaxed",
  "cell": [[12.377, 0.000, 0.000], [0.000, 12.377, 0.000], [0.000, 0.000, 4.368]],
  "species": ["K", "K", "Rb", "Rb", "Rb", "Rb", "Ca", "Ca", "Ca", "Ca"],
  "fractional_positions": [[0.000, 0.000, 0.000], [0.500, 0.500, 0.000], [0.183, 0.317, 0.500], [0.317, 0.817, 0.500], [0.683, 0.183, 0.500], [0.817, 0.683, 0.500], [0.108, 0.608, 0.000], [0.392, 0.108, 0.000], [0.608, 0.892, 0.000], [0.892, 0.392, 0.000]],
  "delta_e_f_ev_per_fu": 1.26,
  "crystal_system": "tetragonal",
  "volume_a3_per_cell": 669.2,
  "magnetic_moment_mub_per_cell": 0.00,
  "e_tot_ev_per_atom": -1.155
}

---

{
  "formula": "La2Pm5Y4",
  "functional": "PBE",
  "state": "relaxed",
  "cell": [[-1.778, 4.623, 11.888], [1.778, -4.623, 11.888], [1.778, 4.623, -11.888]],
  "species": ["La", "La", "Pm", "Pm", "Pm", "Pm", "Pm", "Y", "Y", "Y", "Y"],
  "fractional_positions": [[0.234, 0.234, 0.000], [0.766, 0.766, 0.000], [0.166, 0.359, 0.807], [0.448, 0.641, 0.807], [0.500, 0.000, 0.500], [0.552, 0.359, 0.193], [0.834, 0.641, 0.193], [0.099, 0.099, 0.000], [0.186, 0.500, 0.686], [0.814, 0.500, 0.314], [0.901, 0.901, 0.000]],
  "delta_e_f_ev_per_fu": 2.01,
  "crystal_system": "orthorhombic",
  "volume_a3_per_cell": 390.8,
  "magnetic_moment_mub_per_cell": 0.00,
  "e_tot_ev_per_atom": -5.223
}

---

{
  "formula": "Ca3Pm12Pr5",
  "functional": "PBE",
  "state": "relaxed",
  "cell": [[-9.596, 9.596, 9.596], [9.596, -9.596, 9.596], [9.596, 9.596, -9.596]],
  "species": ["Ca", "Ca", "Ca", "Ca", "Ca", "Ca", "Ca", "Ca", "Ca", "Ca", "Ca", "Ca", "Pm", "Pm", "Pm", "Pm", "Pm", "Pm", "Pm", "Pm", "Pm", "Pm", "Pm", "Pm", "Pm", "Pm", "Pm", "Pm", "Pm", "Pm", "Pm", "Pm", "Pm", "Pm", "Pm", "Pm", "Pm", "Pm", "Pm", "Pm", "Pm", "Pm", "Pm", "Pm", "Pm", "Pm", "Pm", "Pm", "Pm", "Pm", "Pm", "Pm", "Pm", "Pm", "Pm", "Pm", "Pm", "Pm", "Pm", "Pm", "Pr", "Pr", "Pr", "Pr", "Pr", "Pr", "Pr", "Pr", "Pr", "Pr", "Pr", "Pr", "Pr", "Pr", "Pr", "Pr", "Pr", "Pr", "Pr", "Pr"],
  "fractional_positions": [[0.125, 0.250, 0.375], [0.125, 0.375, 0.750], [0.250, 0.375, 0.125], [0.250, 0.875, 0.625], [0.375, 0.125, 0.250], [0.375, 0.750, 0.125], [0.625, 0.250, 0.875], [0.625, 0.875, 0.750], [0.750, 0.125, 0.375], [0.750, 0.625, 0.875], [0.875, 0.625, 0.250], [0.875, 0.750, 0.625], [0.001, 0.187, 0.056], [0.001, 0.314, 0.945], [0.055, 0.556, 0.369], [0.055, 0.999, 0.686], [0.056, 0.001, 0.187], [0.056, 0.555, 0.869], [0.131, 0.687, 0.686], [0.131, 0.944, 0.445], [0.186, 0.187, 0.631], [0.186, 0.499, 0.555], [0.187, 0.056, 0.001], [0.187, 0.631, 0.186], [0.313, 0.314, 0.869], [0.313, 0.499, 0.444], [0.314, 0.869, 0.313], [0.314, 0.945, 0.001], [0.369, 0.055, 0.556], [0.369, 0.814, 0.813], [0.444, 0.313, 0.499], [0.444, 0.631, 0.945], [0.445, 0.131, 0.944], [0.445, 0.814, 0.501], [0.499, 0.444, 0.313], [0.499, 0.555, 0.186], [0.501, 0.445, 0.814], [0.501, 0.556, 0.687], [0.555, 0.186, 0.499], [0.555, 0.869, 0.056], [0.556, 0.369, 0.055], [0.556, 0.687, 0.501], [0.631, 0.186, 0.187], [0.631, 0.945, 0.444], [0.686, 0.055, 0.999], [0.686, 0.131, 0.687], [0.687, 0.501, 0.556], [0.687, 0.686, 0.131], [0.813, 0.369, 0.814], [0.813, 0.944, 0.999], [0.814, 0.501, 0.445], [0.814, 0.813, 0.369], [0.869, 0.056, 0.555], [0.869, 0.313, 0.314], [0.944, 0.445, 0.131], [0.944, 0.999, 0.813], [0.945, 0.001, 0.314], [0.945, 0.444, 0.631], [0.999, 0.686, 0.055], [0.999, 0.813, 0.944], [0.000, 0.000, 0.000], [0.000, 0.000, 0.500], [0.000, 0.500, 0.000], [0.000, 0.500, 0.500], [0.125, 0.750, 0.875], [0.125, 0.875, 0.250], [0.250, 0.125, 0.875], [0.250, 0.625, 0.375], [0.375, 0.250, 0.625], [0.375, 0.625, 0.750], [0.500, 0.000, 0.000], [0.500, 0.000, 0.500], [0.500, 0.500, 0.000], [0.500, 0.500, 0.500], [0.625, 0.375, 0.250], [0.625, 0.750, 0.375], [0.750, 0.375, 0.625], [0.750, 0.875, 0.125], [0.875, 0.125, 0.750], [0.875, 0.250, 0.125]],
  "delta_e_f_ev_per_fu": 19.05,
  "crystal_system": "cubic",
  "volume_a3_per_cell": 3534.1,
  "magnetic_moment_mub_per_cell": 0.00,
  "e_tot_ev_per_atom": -3.393
}

---

{
  "formula": "LiDy2Pu3S6",
  "functional": "PBE",
  "state": "relaxed",
  "cell": [[3.398, -5.886, 0.000], [3.398, 5.886, 0.000], [-2.268, 0.000, 6.408]],
  "species": ["Li", "Dy", "Dy", "Pu", "Pu", "Pu", "S", "S", "S", "S", "S", "S"],
  "fractional_positions": [[0.000, 0.000, 0.000], [0.333, 0.667, 0.000], [0.667, 0.333, 0.000], [0.167, 0.833, 0.500], [0.500, 0.500, 0.500], [0.833, 0.167, 0.500], [0.081, 0.411, 0.243], [0.249, 0.249, 0.757], [0.411, 0.081, 0.243], [0.589, 0.919, 0.757], [0.751, 0.751, 0.243], [0.919, 0.589, 0.757]],
  "crystal_system": "monoclinic",
  "volume_a3_per_cell": 256.3,
  "magnetic_moment_mub_per_cell": 17.23,
  "e_tot_ev_per_atom": -8.386
}

---

{
  "formula": "Cd2InAg",
  "functional": "PBE",
  "state": "relaxed",
  "cell": [[4.963, -1.643, 0.000], [4.963, 1.643, 0.000], [-0.816, 0.000, 5.388]],
  "species": ["Cd", "Cd", "In", "Ag"],
  "fractional_positions": [[0.000, 0.000, 0.000], [0.247, 0.247, 0.754], [0.490, 0.490, 0.480], [0.743, 0.743, 0.239]],
  "delta_e_f_ev_per_fu": 0.04,
  "crystal_system": "monoclinic",
  "volume_a3_per_cell": 87.9,
  "magnetic_moment_mub_per_cell": 0.00,
  "e_tot_ev_per_atom": -1.844
}

---

{
  "formula": "Ta2HIrOs",
  "functional": "PBE",
  "state": "relaxed",
  "cell": [[4.169, 0.000, 0.000], [0.000, 4.169, 0.000], [0.000, 0.000, 3.835]],
  "species": ["Ta", "Ta", "H", "Ir", "Os"],
  "fractional_positions": [[0.000, 0.500, 0.000], [0.500, 0.000, 0.000], [0.000, 0.000, 0.000], [0.000, 0.000, 0.500], [0.500, 0.500, 0.500]],
  "crystal_system": "tetragonal",
  "volume_a3_per_cell": 66.7,
  "magnetic_moment_mub_per_cell": 0.00,
  "e_tot_ev_per_atom": -9.685
}